1.
Below is an optimized crystal structure of MgGeB2, with properties calculated at the GGA-PBE level.

Geometry as POSCAR:
```
MgGeB2
1.0
-0.385 4.865 -2.653
-4.381 -1.895 -2.840
-4.963 2.927 0.271
Ge B Mg
2 4 2
Direct
0.000 0.000 0.000 Ge
0.750 0.250 0.500 Ge
0.677 0.125 0.250 B
0.073 0.625 0.250 B
0.375 0.323 0.750 B
0.875 0.927 0.750 B
0.500 0.500 0.000 Mg
0.250 0.750 0.500 Mg
```

raw total energy: -3.899 eV/atom
space-group type: I-42d
formation energy: 993 meV/atom
total magnetization: 0.00 μB/f.u.
ΔE to the lowest computed polymorph: 0 meV/atom


2.
Below is an optimized crystal structure of BaNa6Sr, with properties calculated at the GGA-PBE level.

Geometry as POSCAR:
```
BaNa6Sr
1.0
7.023 0.000 0.000
0.000 7.023 0.000
0.000 0.000 7.023
Ba Na Sr
1 6 1
Direct
0.500 0.500 0.500 Ba
0.500 0.754 0.000 Na
0.754 0.000 0.500 Na
0.000 0.500 0.246 Na
0.246 0.000 0.500 Na
0.500 0.246 0.000 Na
0.000 0.500 0.754 Na
0.000 0.000 0.000 Sr
```

raw total energy: -1.364 eV/atom
space-group type: Pm-3
formation energy: 76 meV/atom
total magnetization: 0.00 μB/f.u.
ΔE to the lowest computed polymorph: 23 meV/atom


3.
Below is an optimized crystal structure of HoTmPdAu, with properties calculated at the GGA-PBE level.

Geometry as POSCAR:
```
HoTmPdAu
1.0
4.983 0.000 0.000
2.492 4.316 0.000
2.492 1.439 4.069
Tm Au Ho Pd
1 1 1 1
Direct
0.250 0.250 0.250 Tm
0.000 0.000 0.000 Au
0.750 0.750 0.750 Ho
0.500 0.500 0.500 Pd
```

raw total energy: -5.270 eV/atom
space-group type: F-43m
formation energy: -890 meV/atom
total magnetization: 0.00 μB/f.u.
ΔE to the lowest computed polymorph: 39 meV/atom


4.
Below is an optimized crystal structure of Na2TcMo, with properties calculated at the GGA-PBE level.

Geometry as POSCAR:
```
Na2TcMo
1.0
8.231 0.000 0.000
0.000 8.231 0.000
4.115 4.115 2.418
Na Mo Tc
4 2 2
Direct
0.637 0.125 0.250 Na
0.113 0.625 0.250 Na
0.375 0.363 0.750 Na
0.875 0.887 0.750 Na
0.500 0.500 0.000 Mo
0.250 0.750 0.500 Mo
0.000 0.000 0.000 Tc
0.750 0.250 0.500 Tc
```

raw total energy: -4.416 eV/atom
space-group type: I-42d
formation energy: 1543 meV/atom
total magnetization: 1.89 μB/f.u.
ΔE to the lowest computed polymorph: 0 meV/atom


5.
Below is an optimized crystal structure of ScRuW2, with properties calculated at the GGA-PBE level.

Geometry as POSCAR:
```
ScRuW2
1.0
-1.778 0.861 -5.002
-4.373 -2.547 -1.820
1.544 2.839 4.300
Ru Sc W
1 1 2
Direct
0.250 0.750 0.500 Ru
0.750 0.250 0.500 Sc
0.000 0.000 0.000 W
0.500 0.500 0.000 W
```

raw total energy: -10.258 eV/atom
space-group type: I4/mmm
formation energy: 121 meV/atom
total magnetization: 0.00 μB/f.u.
ΔE to the lowest computed polymorph: 172 meV/atom


6.
Below is an optimized crystal structure of TbDy3Sb, with properties calculated at the GGA-PBE level.

Geometry as POSCAR:
```
TbDy3Sb
1.0
3.958 0.000 0.000
0.000 10.658 0.000
0.000 0.000 14.510
Tb Dy Sb
4 12 4
Direct
0.750 0.833 0.969 Tb
0.250 0.667 0.469 Tb
0.750 0.333 0.531 Tb
0.250 0.167 0.031 Tb
0.250 0.585 0.075 Dy
0.750 0.415 0.925 Dy
0.250 0.085 0.425 Dy
0.750 0.915 0.575 Dy
0.250 0.387 0.733 Dy
0.750 0.113 0.233 Dy
0.250 0.887 0.767 Dy
0.750 0.634 0.682 Dy
0.250 0.366 0.318 Dy
0.750 0.134 0.818 Dy
0.750 0.613 0.267 Dy
0.250 0.866 0.182 Dy
0.250 0.131 0.638 Sb
0.250 0.631 0.862 Sb
0.750 0.369 0.138 Sb
0.750 0.869 0.362 Sb
```

raw total energy: -4.878 eV/atom
raw formation energy: -366 meV/atom
space-group type: Pnma
total magnetization: 0.02 μB/f.u.


7.
Below is an optimized crystal structure of HfHgH2, with properties calculated at the GGA-PBE level.

Geometry as POSCAR:
```
HfHgH2
1.0
0.000 2.885 2.885
2.885 0.000 2.885
2.885 2.885 0.000
H Hf Hg
2 1 1
Direct
0.250 0.250 0.250 H
0.750 0.750 0.750 H
0.000 0.000 0.000 Hf
0.500 0.500 0.500 Hg
```

raw total energy: -3.849 eV/atom
space-group type: Fm-3m
total magnetization: 0.00 μB/f.u.
ΔE to the lowest computed polymorph: 631 meV/atom


8.
Below is an optimized crystal structure of Cd12Hg5Sb3, with properties calculated at the GGA-PBE level.

Geometry as POSCAR:
```
Cd12Hg5Sb3
1.0
-0.499 -8.714 -11.979
13.833 4.961 1.927
-4.176 -7.749 11.924
Sb Hg Cd
12 20 48
Direct
0.750 0.375 0.125 Sb
0.875 0.750 0.125 Sb
0.375 0.750 0.625 Sb
0.250 0.125 0.375 Sb
0.875 0.125 0.250 Sb
0.375 0.625 0.250 Sb
0.625 0.375 0.750 Sb
0.125 0.875 0.750 Sb
0.750 0.875 0.625 Sb
0.625 0.250 0.375 Sb
0.125 0.250 0.875 Sb
0.250 0.625 0.875 Sb
0.125 0.375 0.250 Hg
0.000 0.500 0.000 Hg
0.000 0.000 0.000 Hg
0.375 0.250 0.125 Hg
0.500 0.000 0.500 Hg
0.500 0.500 0.000 Hg
0.125 0.750 0.375 Hg
0.750 0.125 0.875 Hg
0.750 0.625 0.375 Hg
0.375 0.125 0.750 Hg
0.625 0.875 0.250 Hg
0.500 0.500 0.500 Hg
0.500 0.000 0.000 Hg
0.000 0.000 0.500 Hg
0.250 0.375 0.625 Hg
0.250 0.875 0.125 Hg
0.000 0.500 0.500 Hg
0.875 0.250 0.625 Hg
0.625 0.750 0.875 Hg
0.875 0.625 0.750 Hg
0.727 0.134 0.062 Cd
0.334 0.562 0.427 Cd
0.938 0.366 0.273 Cd
0.562 0.227 0.134 Cd
0.593 0.727 0.666 Cd
0.938 0.573 0.166 Cd
0.334 0.773 0.407 Cd
0.073 0.907 0.134 Cd
0.573 0.938 0.666 Cd
0.727 0.593 0.166 Cd
0.773 0.438 0.366 Cd
0.834 0.927 0.062 Cd
0.134 0.727 0.562 Cd
0.366 0.427 0.093 Cd
0.093 0.927 0.366 Cd
0.407 0.134 0.573 Cd
0.093 0.166 0.227 Cd
0.438 0.666 0.073 Cd
0.834 0.907 0.273 Cd
0.134 0.407 0.073 Cd
0.366 0.938 0.773 Cd
0.573 0.634 0.407 Cd
0.927 0.834 0.562 Cd
0.773 0.334 0.907 Cd
0.427 0.366 0.593 Cd
0.073 0.166 0.438 Cd
0.227 0.666 0.093 Cd
0.166 0.093 0.727 Cd
0.634 0.062 0.227 Cd
0.866 0.593 0.927 Cd
0.562 0.334 0.927 Cd
0.593 0.866 0.427 Cd
0.907 0.834 0.773 Cd
0.907 0.073 0.634 Cd
0.866 0.273 0.438 Cd
0.166 0.073 0.938 Cd
0.634 0.573 0.907 Cd
0.427 0.062 0.334 Cd
0.273 0.407 0.834 Cd
0.227 0.562 0.634 Cd
0.927 0.093 0.866 Cd
0.666 0.227 0.593 Cd
0.438 0.773 0.866 Cd
0.062 0.427 0.834 Cd
0.407 0.273 0.334 Cd
0.062 0.634 0.727 Cd
0.666 0.438 0.573 Cd
0.273 0.866 0.938 Cd
```

raw total energy: -1.111 eV/atom
raw formation energy: 132 meV/atom
space-group type: Ia-3d
total magnetization: 0.00 μB/f.u.